# TaOsPb2, relaxed, DFT PBE
# relative energy among the computed polymorphs = 297 meV per atom
data_TaOsPb2
_symmetry_space_group_name_H-M 'C 1 m 1'
_symmetry_Int_Tables_number 8
_cell_length_a 8.3984
_cell_length_b 3.2408
_cell_length_c 7.5245
_cell_angle_alpha 90.00
_cell_angle_beta 100.92
_cell_angle_gamma 90.00
loop_
_symmetry_equiv_pos_as_xyz
'x,y,z'
'x,-y,z'
'x+1/2,y+1/2,z'
'x+1/2,-y+1/2,z'
loop_
_atom_site_label
_atom_site_fract_x
_atom_site_fract_y
_atom_site_fract_z
_atom_site_occupancy
Ta1 0.0000 0.0000 0.0000 1
Os1 0.2711 0.0000 0.8819 1
Pb1 0.0134 0.5000 0.6301 1
Pb2 0.2626 0.5000 0.2535 1